No. 1
First-principles (meta-GGA SCAN) data for CrIrBr2 at its PBEsol-relaxed geometry, as listed in the Alexandria database.

- E_form (uncorrected) (eV per atom) = 0.7950
- calculated density (g cm⁻³) = 10.12
- calculated total energy (eV/atom) = -31.306

Cell: 3.075 3.075 8.291 Å, 79.31 79.31 60.00°
Last column: magnetic moment on the atom in μB.
Positions (direct):
Br: 0.762 0.762 0.715  -0.05
Br: 0.238 0.238 0.285  -0.05
Cr: 0.500 0.500 0.500  2.94
Ir: 0.000 0.000 0.000  -0.51


No. 2
First-principles (meta-GGA SCAN) data for GaGePt6 at its PBEsol-relaxed geometry, as listed in the Alexandria database.

- calculated density (g cm⁻³) = 18.34
- calculated total energy (eV/atom) = -57.471

Cell: 5.481 5.539 5.481 Å, 60.35 90.00 119.65°
Positions (direct):
Pt: 0.000 0.000 0.500
Pt: 0.457 0.508 0.543
Pt: 0.051 0.508 0.949
Pt: 0.543 0.492 0.051
Pt: 0.500 0.000 0.000
Pt: 0.949 0.492 0.457
Ge: 0.500 0.000 0.500
Ga: 0.000 0.000 0.000


No. 3
First-principles (meta-GGA SCAN) data for KRbO at its PBEsol-relaxed geometry, as listed in the Alexandria database.

- E_form (uncorrected) (eV per atom) = -0.9949
- calculated density (g cm⁻³) = 2.42
- calculated total energy (eV/atom) = -12.761

Cell: 5.560 8.789 8.789 Å, 84.26 71.56 71.56°
Last column: magnetic moment on the atom in μB.
Positions (direct):
O: 0.000 0.299 0.701  0.06
O: 0.299 0.701 0.701  0.06
O: 0.000 0.701 0.299  0.06
O: 0.701 0.299 0.299  0.06
Rb: 0.857 0.643 0.643  0.00
Rb: 0.500 0.643 0.357  0.00
Rb: 0.500 0.357 0.643  0.00
Rb: 0.143 0.357 0.357  0.00
K: 0.835 0.000 0.331  0.00
K: 0.165 0.000 0.669  0.00
K: 0.165 0.669 0.000  0.00
K: 0.835 0.331 0.000  0.00


No. 4
First-principles (meta-GGA SCAN) data for CrAgTe2 at its PBEsol-relaxed geometry, as listed in the Alexandria database.

- E_form (uncorrected) (eV per atom) = -0.3089
- calculated density (g cm⁻³) = 6.92
- calculated total energy (eV/atom) = -31.372

Cell: 4.034 4.034 7.445 Å, 74.28 74.28 60.00°
Last column: magnetic moment on the atom in μB.
Positions (direct):
Te: 0.732 0.732 0.803  -0.18
Te: 0.265 0.265 0.204  -0.12
Ag: 0.858 0.858 0.427  -0.02
Cr: 0.001 0.001 0.998  3.20


No. 5
First-principles (meta-GGA SCAN) data for Ta2CrOs at its PBEsol-relaxed geometry, as listed in the Alexandria database.

- calculated density (g cm⁻³) = 16.60
- calculated total energy (eV/atom) = -55.980

Cell: 2.785 4.254 5.178 Å, 90.00 99.87 90.00°
Positions (direct):
Os: 0.000 0.500 0.500
Ta: 0.262 0.000 0.245
Ta: 0.738 0.000 0.755
Cr: 0.500 0.500 0.000


No. 6
First-principles (meta-GGA SCAN) data for LaCrCdMo2 at its PBEsol-relaxed geometry, as listed in the Alexandria database.

- calculated density (g cm⁻³) = 6.65
- calculated total energy (eV/atom) = -30.229

Cell: 4.708 4.708 5.578 Å, 90.00 90.00 90.00°
Last column: magnetic moment on the atom in μB.
Positions (direct):
La: 0.000 0.000 0.000  -0.02
Mo: 0.000 0.500 0.000  -1.09
Mo: 0.500 0.000 0.000  -1.09
Cd: 0.000 0.000 0.500  -0.02
Cr: 0.500 0.500 0.500  4.13


Question: What is the calculated total energy in the sixth record?
Answer: -30.229 eV/atom